No. 1
# HfPaOs | Alexandria | PBE | optimized geometry
# - SG = No. 156
# - volume (A^3/atom) = 19.7
# - energy relative to the elements (eV/atom) = -0.1002
# - relative energy among the computed polymorphs (kcal/mol of atoms) = 2.77
# - N(E_F) (states/eV per cell) = 3.18
# - crystal system = trigonal
data_HfPaOs
_chemical_formula_sum 'Hf1 Pa1 Os1'
_cell_length_a 3.072
_cell_length_b 4.717
_cell_length_c 4.717
_cell_angle_alpha 120.00
_cell_angle_beta 90.00
_cell_angle_gamma 90.00
_symmetry_space_group_name_H-M 'P 1'
_symmetry_Int_Tables_number 1
loop_
_symmetry_equiv_pos_as_xyz
'x,y,z'
loop_
_atom_site_label
_atom_site_fract_x
_atom_site_fract_y
_atom_site_fract_z
Os1 0.351 0.667 0.333
Hf1 0.008 0.000 0.000
Pa1 0.641 0.333 0.667

=====

No. 2
# HfPaOs | Alexandria | PBE | optimized geometry
# - SG = No. 107
# - volume (A^3/atom) = 21.0
# - energy relative to the elements (eV/atom) = -0.2026
# - relative energy among the computed polymorphs (kcal/mol of atoms) = 0.41
# - N(E_F) (states/eV per cell) = 5.51
# - crystal system = tetragonal
data_HfPaOs
_chemical_formula_sum 'Hf1 Pa1 Os1'
_cell_length_a 3.212
_cell_length_b 3.212
_cell_length_c 6.517
_cell_angle_alpha 104.27
_cell_angle_beta 104.27
_cell_angle_gamma 90.00
_symmetry_space_group_name_H-M 'P 1'
_symmetry_Int_Tables_number 1
loop_
_symmetry_equiv_pos_as_xyz
'x,y,z'
loop_
_atom_site_label
_atom_site_fract_x
_atom_site_fract_y
_atom_site_fract_z
Os1 0.675 0.675 0.351
Pa1 0.018 0.018 0.036
Hf1 0.307 0.307 0.614

=====

No. 3
# HfPaOs | Alexandria | PBE | optimized geometry
# - SG = No. 166
# - volume (A^3/atom) = 21.4
# - energy relative to the elements (eV/atom) = -0.2204
# - relative energy among the computed polymorphs (kcal/mol of atoms) = 0.00
# - N(E_F) (states/eV per cell) = 9.39
# - crystal system = trigonal
data_HfPaOs
_chemical_formula_sum 'Hf2 Pa2 Os2'
_cell_length_a 4.452
_cell_length_b 4.452
_cell_length_c 7.898
_cell_angle_alpha 73.63
_cell_angle_beta 73.63
_cell_angle_gamma 60.00
_symmetry_space_group_name_H-M 'P 1'
_symmetry_Int_Tables_number 1
loop_
_symmetry_equiv_pos_as_xyz
'x,y,z'
loop_
_atom_site_label
_atom_site_fract_x
_atom_site_fract_y
_atom_site_fract_z
Pa1 0.796 0.796 0.613
Pa2 0.204 0.204 0.387
Os1 0.066 0.066 0.802
Os2 0.934 0.934 0.198
Hf1 0.637 0.637 0.090
Hf2 0.363 0.363 0.910

=====

No. 4
# HfPaOsPd | Alexandria | PBE | optimized geometry
# - SG = No. 216
# - volume (A^3/atom) = 19.5
# - energy relative to the elements (eV/atom) = -0.3845
# - N(E_F) (states/eV per cell) = 6.66
# - crystal system = cubic
data_HfPaOsPd
_chemical_formula_sum 'Hf1 Pa1 Os1 Pd1'
_cell_length_a 4.799
_cell_length_b 4.799
_cell_length_c 4.799
_cell_angle_alpha 60.00
_cell_angle_beta 60.00
_cell_angle_gamma 60.00
_symmetry_space_group_name_H-M 'P 1'
_symmetry_Int_Tables_number 1
loop_
_symmetry_equiv_pos_as_xyz
'x,y,z'
loop_
_atom_site_label
_atom_site_fract_x
_atom_site_fract_y
_atom_site_fract_z
Os1 0.000 0.000 0.000
Pa1 0.750 0.750 0.750
Hf1 0.250 0.250 0.250
Pd1 0.500 0.500 0.500

=====

No. 5
# HfPaReOs | Alexandria | PBE | optimized geometry
# - SG = No. 216
# - volume (A^3/atom) = 19.1
# - energy relative to the elements (eV/atom) = -0.2437
# - N(E_F) (states/eV per cell) = 2.29
# - crystal system = cubic
data_HfPaReOs
_chemical_formula_sum 'Hf1 Pa1 Re1 Os1'
_cell_length_a 4.763
_cell_length_b 4.763
_cell_length_c 4.763
_cell_angle_alpha 60.00
_cell_angle_beta 60.00
_cell_angle_gamma 60.00
_symmetry_space_group_name_H-M 'P 1'
_symmetry_Int_Tables_number 1
loop_
_symmetry_equiv_pos_as_xyz
'x,y,z'
loop_
_atom_site_label
_atom_site_fract_x
_atom_site_fract_y
_atom_site_fract_z
Re1 0.000 0.000 0.000
Os1 0.500 0.500 0.500
Pa1 0.250 0.250 0.250
Hf1 0.750 0.750 0.750

=====

No. 6
# HfPaOsRh | Alexandria | PBE | optimized geometry
# - SG = No. 216
# - volume (A^3/atom) = 19.1
# - energy relative to the elements (eV/atom) = -0.4806
# - N(E_F) (states/eV per cell) = 6.13
# - crystal system = cubic
data_HfPaOsRh
_chemical_formula_sum 'Hf1 Pa1 Os1 Rh1'
_cell_length_a 4.761
_cell_length_b 4.761
_cell_length_c 4.761
_cell_angle_alpha 60.00
_cell_angle_beta 60.00
_cell_angle_gamma 60.00
_symmetry_space_group_name_H-M 'P 1'
_symmetry_Int_Tables_number 1
loop_
_symmetry_equiv_pos_as_xyz
'x,y,z'
loop_
_atom_site_label
_atom_site_fract_x
_atom_site_fract_y
_atom_site_fract_z
Hf1 0.500 0.500 0.500
Pa1 0.000 0.000 0.000
Os1 0.250 0.250 0.250
Rh1 0.750 0.750 0.750

=====

No. 7
# HfPaOsRu | Alexandria | PBE | optimized geometry
# - SG = No. 216
# - volume (A^3/atom) = 18.9
# - energy relative to the elements (eV/atom) = -0.3904
# - N(E_F) (states/eV per cell) = 5.54
# - crystal system = cubic
data_HfPaOsRu
_chemical_formula_sum 'Hf1 Pa1 Os1 Ru1'
_cell_length_a 4.746
_cell_length_b 4.746
_cell_length_c 4.746
_cell_angle_alpha 60.00
_cell_angle_beta 60.00
_cell_angle_gamma 60.00
_symmetry_space_group_name_H-M 'P 1'
_symmetry_Int_Tables_number 1
loop_
_symmetry_equiv_pos_as_xyz
'x,y,z'
loop_
_atom_site_label
_atom_site_fract_x
_atom_site_fract_y
_atom_site_fract_z
Pa1 0.500 0.500 0.500
Hf1 0.000 0.000 0.000
Os1 0.250 0.250 0.250
Ru1 0.750 0.750 0.750

=====

No. 8
# HfOs3Pb | Alexandria | PBE | optimized geometry
# - SG = No. 221
# - volume (A^3/atom) = 22.8
# - energy relative to the elements (eV/atom) = 2.5018
# - relative energy among the computed polymorphs (kcal/mol of atoms) = 9.33
# - N(E_F) (states/eV per cell) = 4.26
# - crystal system = cubic
data_HfOs3Pb
_chemical_formula_sum 'Hf1 Os3 Pb1'
_cell_length_a 4.847
_cell_length_b 4.847
_cell_length_c 4.847
_cell_angle_alpha 90.00
_cell_angle_beta 90.00
_cell_angle_gamma 90.00
_symmetry_space_group_name_H-M 'P 1'
_symmetry_Int_Tables_number 1
loop_
_symmetry_equiv_pos_as_xyz
'x,y,z'
loop_
_atom_site_label
_atom_site_fract_x
_atom_site_fract_y
_atom_site_fract_z
Pb1 0.000 0.000 0.000
Os1 0.000 0.000 0.500
Os2 0.000 0.500 0.000
Os3 0.500 0.000 0.000
Hf1 0.500 0.500 0.500